Record 1
# MgSi2Tc2 (SCAN, PBEsol geometry)
data_MgSi2Tc2
_chemical_formula_sum 'Mg2 Si4 Tc4'
_symmetry_space_group_name_H-M 'P 1'
_symmetry_Int_Tables_number 1
_cell_length_a 3.0072
_cell_length_b 6.8110
_cell_length_c 6.8110
_cell_angle_alpha 90.00
_cell_angle_beta 90.00
_cell_angle_gamma 90.00
loop_
_symmetry_equiv_pos_as_xyz
'x,y,z'
loop_
_atom_site_label
_atom_site_type_symbol
_atom_site_fract_x
_atom_site_fract_y
_atom_site_fract_z
Tc1 Tc 0.5000 0.6561 0.8439
Tc2 Tc 0.5000 0.3439 0.1561
Si1 Si 0.0000 0.1347 0.3653
Mg1 Mg 0.0000 0.5000 0.5000
Si2 Si 0.0000 0.8653 0.6347
Si3 Si 0.0000 0.6347 0.1347
Si4 Si 0.0000 0.3653 0.8653
Mg2 Mg 0.0000 0.0000 0.0000
Tc3 Tc 0.5000 0.1561 0.6561
Tc4 Tc 0.5000 0.8439 0.3439
# E_form (uncorrected) in eV/f.u.: -2.1
# Crystal system: tetragonal
# V in Å³ per atom: 13.95
# Space-group type: P4/mbm

---

Record 2
# MgSiTc (SCAN, PBEsol geometry)
data_MgSiTc
_chemical_formula_sum 'Mg1 Si1 Tc1'
_symmetry_space_group_name_H-M 'P 1'
_symmetry_Int_Tables_number 1
_cell_length_a 2.9203
_cell_length_b 2.9203
_cell_length_c 6.3652
_cell_angle_alpha 90.00
_cell_angle_beta 90.00
_cell_angle_gamma 120.00
loop_
_symmetry_equiv_pos_as_xyz
'x,y,z'
loop_
_atom_site_label
_atom_site_type_symbol
_atom_site_fract_x
_atom_site_fract_y
_atom_site_fract_z
Si1 Si 0.3333 0.6667 0.6350
Mg1 Mg 0.0000 0.0000 0.0051
Tc1 Tc 0.6667 0.3333 0.3598
# E_form (uncorrected) in eV/f.u.: 0.2
# Crystal system: trigonal
# V in Å³ per atom: 15.67
# Space-group type: P3m1

---

Record 3
# MgSi3Tc (SCAN, PBEsol geometry)
data_MgSi3Tc
_chemical_formula_sum 'Mg1 Si3 Tc1'
_symmetry_space_group_name_H-M 'P 1'
_symmetry_Int_Tables_number 1
_cell_length_a 4.6567
_cell_length_b 4.6567
_cell_length_c 4.6567
_cell_angle_alpha 90.00
_cell_angle_beta 90.00
_cell_angle_gamma 90.00
loop_
_symmetry_equiv_pos_as_xyz
'x,y,z'
loop_
_atom_site_label
_atom_site_type_symbol
_atom_site_fract_x
_atom_site_fract_y
_atom_site_fract_z
Si1 Si 0.0000 0.0000 0.5000
Tc1 Tc 0.0000 0.0000 0.0000
Si2 Si 0.0000 0.5000 0.0000
Si3 Si 0.5000 0.0000 0.0000
Mg1 Mg 0.5000 0.5000 0.5000
# E_form (uncorrected) in eV/f.u.: 2.4
# Crystal system: cubic
# V in Å³ per atom: 20.20
# Space-group type: Pm-3m